This record from the Alexandria database describes a geometry-optimized ZrFe2O4 structure. The functional is PBE with a Hubbard U.

It has space group Pbca (No. 61), with a = 5.5550 Å, b = 10.9954 Å, c = 5.6115 Å, α = 90.00°, β = 90.00° and γ = 90.00°. The asymmetric unit holds Zr at (0.0000, 0.0000, 0.0000), Fe at (0.0507, 0.1605, 0.4659), O at (0.0794, 0.6797, 0.3859) and O at (0.1681, 0.5450, 0.8342).

Its crystal system is orthorhombic. The density of states at the Fermi level comes out at 0.000 states/eV per atom. Its energy is -0.2875 Ha/atom.